[1]
{
  "formula": "In2SiTc",
  "functional": "PBE",
  "state": "relaxed",
  "m_tot_mub_per_cell": 0.01,
  "e_form_raw_kj_per_mol_atoms": 22.67,
  "sg": "No. 8",
  "density_g_cm3": 7.7,
  "lattice": [[10.806, 0.000, 0.000], [0.000, 3.083, 0.000], [-1.420, 0.000, 4.634]],
  "species": ["In", "In", "In", "In", "Si", "Si", "Tc", "Tc"],
  "fractional_positions": [[0.000, 0.000, 0.000], [0.205, 0.000, 0.654], [0.500, 0.500, 0.000], [0.705, 0.500, 0.654], [0.416, 0.000, 0.418], [0.916, 0.500, 0.418], [0.247, 0.500, 0.173], [0.747, 0.000, 0.173]]
}

[2]
{
  "formula": "InSi2Tc",
  "functional": "PBE",
  "state": "relaxed",
  "m_tot_mub_per_cell": 0.00,
  "e_form_raw_kj_per_mol_atoms": 20.99,
  "sg": "No. 160",
  "density_g_cm3": 6.6,
  "lattice": [[3.129, 0.000, 0.000], [-1.565, 2.710, 0.000], [0.000, 0.000, 23.777]],
  "species": ["In", "In", "In", "Si", "Si", "Si", "Si", "Si", "Si", "Tc", "Tc", "Tc"],
  "fractional_positions": [[0.000, 0.000, 0.000], [0.333, 0.667, 0.667], [0.667, 0.333, 0.333], [0.000, 0.000, 0.504], [0.000, 0.000, 0.763], [0.333, 0.667, 0.170], [0.333, 0.667, 0.430], [0.667, 0.333, 0.096], [0.667, 0.333, 0.837], [0.000, 0.000, 0.240], [0.333, 0.667, 0.907], [0.667, 0.333, 0.573]]
}

no.,electronic total energy (eV per atom)
1,-5.0816
2,-5.7701